YCdRh2 | PBE-GGA | optimized geometry

Results
E_form = -0.53 eV/atom
Total DFT energy (no corrections) = -6.053 eV/atom

Cell lengths 8.154, 8.154, 8.154 Å; angles 33.50, 33.50, 33.50 degrees
Fractional positions:
Y 0.120 0.120 0.120
Y 0.880 0.880 0.880
Cd 0.374 0.374 0.374
Cd 0.626 0.626 0.626
Rh 0.000 0.000 0.000
Rh 0.251 0.251 0.251
Rh 0.500 0.500 0.500
Rh 0.749 0.749 0.749


NaScTc2O8 | PBE-GGA | optimized geometry

Results
Energy relative to the elements, uncorrected = -1.843 eV per atom
Total DFT energy (no corrections) = -7.514 eV/atom

Cell lengths 5.813, 5.813, 6.653 Å; angles 90.00, 90.00, 120.00 degrees
Fractional positions:
Na 0.000 0.000 0.000
Sc 0.000 0.000 0.500
Tc 0.333 0.667 0.782
Tc 0.667 0.333 0.218
O 0.164 0.328 0.695
O 0.164 0.836 0.695
O 0.328 0.164 0.305
O 0.333 0.667 0.043
O 0.667 0.333 0.957
O 0.672 0.836 0.695
O 0.836 0.164 0.305
O 0.836 0.672 0.305


HgPb2I | PBE-GGA | optimized geometry

Results
Energy relative to the elements, uncorrected = 0.064 eV per atom
E above lowest polymorph = 0.129 eV/atom
Total DFT energy (no corrections) = -2.253 eV/atom

Cell lengths 5.627, 5.627, 5.627 Å; angles 60.00, 60.00, 60.00 degrees
Fractional positions:
Hg 0.000 0.000 0.000
Pb 0.250 0.250 0.250
Pb 0.750 0.750 0.750
I 0.500 0.500 0.500


LiCd2Hg9 | PBE-GGA | optimized geometry

Results
E_form = -0.04 eV/atom
Total DFT energy (no corrections) = -0.576 eV/atom

Cell lengths 4.443, 5.085, 13.166 Å; angles 93.52, 90.11, 94.89 degrees
Fractional positions:
Li 0.000 0.000 0.000
Cd 0.001 0.999 0.671
Cd 0.999 0.001 0.329
Hg 0.000 0.500 0.500
Hg 0.002 0.490 0.162
Hg 0.497 0.001 0.156
Hg 0.499 0.499 0.669
Hg 0.500 0.000 0.500
Hg 0.500 0.500 0.000
Hg 0.501 0.501 0.331
Hg 0.503 0.999 0.844
Hg 0.998 0.510 0.838


Na2In2Au3 | PBE-GGA | optimized geometry

Results
E above lowest polymorph = 0.000 eV/atom
E_form = -0.29 eV/atom
Total DFT energy (no corrections) = -2.856 eV/atom

Cell lengths 6.731, 6.731, 7.476 Å; angles 117.69, 117.69, 34.16 degrees
Fractional positions:
Na 0.119 0.119 0.284
Na 0.881 0.881 0.716
In 0.170 0.170 0.763
In 0.830 0.830 0.237
Au 0.411 0.411 0.054
Au 0.500 0.500 0.500
Au 0.589 0.589 0.946


RbLi2Fe | PBE-GGA | optimized geometry

Results
E above lowest polymorph = 0.000 eV/atom
E_form = 0.82 eV/atom
Total DFT energy (no corrections) = -2.498 eV/atom

Cell lengths 5.309, 5.309, 5.309 Å; angles 60.00, 60.00, 60.00 degrees
Fractional positions:
Rb 0.000 0.000 0.000
Li 0.250 0.250 0.250
Li 0.750 0.750 0.750
Fe 0.500 0.500 0.500


Q: Which of these has the highest total DFT energy (no corrections)?
A: LiCd2Hg9